1.
A relaxed structure of CoIr4Ru3, computed with PBE.

Structure (POSCAR):
```
CoIr4Ru3
1.0
11.220 -1.365 0.000
11.220 1.365 0.000
-0.668 0.000 3.855
Co Ir Ru
1 4 3
Cartesian
0.000 0.000 0.000
1.834 0.000 2.322
4.451 0.000 2.777
17.322 0.000 1.078
19.938 0.000 1.533
7.122 0.000 3.241
10.886 0.000 1.927
14.651 0.000 0.614
```

Results
Uncorrected energy   -8.51 eV per atom
Energy relative to the lowest polymorph listed for this composition   1.01 eV per formula unit
Total magnetization   0.260 μB per atom
SG   C2/m, No. 12
D(E_F)   1.121 states/eV per atom



2.
A relaxed structure of ZrTa3Fe, computed with PBE.

Structure (POSCAR):
```
ZrTa3Fe
1.0
4.824 0.000 0.000
0.000 4.824 0.000
0.000 0.000 4.824
Zr Ta Fe
1 3 1
Cartesian
0.000 0.000 0.000
0.000 0.000 2.412
0.000 2.412 0.000
2.412 0.000 0.000
2.412 2.412 2.412
```

Results
Uncorrected energy   -8.07 eV per atom
Energy relative to the lowest polymorph listed for this composition   9.45 eV per formula unit
Total magnetization   0.001 μB per atom
SG   Pm-3m, No. 221
D(E_F)   3.082 states/eV per atom



3.
A relaxed structure of Cs3ZnBi2, computed with PBE.

Structure (POSCAR):
```
Cs3ZnBi2
1.0
-4.808 8.038 3.892
4.808 -8.038 3.892
4.808 8.038 -3.892
Cs Zn Bi
6 2 4
Cartesian
6.657 2.778 0.000
0.000 0.000 1.946
1.849 5.260 0.000
2.960 2.778 3.892
0.000 0.000 5.838
-1.849 5.260 3.892
4.808 0.000 1.946
0.000 8.038 1.946
3.153 1.341 0.000
3.153 -1.341 3.892
1.655 9.379 0.000
1.655 6.697 3.892
```

Results
Uncorrected energy   -2.19 eV per atom
Energy relative to the lowest polymorph listed for this composition   0.00 eV per formula unit
Total magnetization   0.000 μB per atom
SG   Ibam, No. 72
D(E_F)   1.020 states/eV per atom



4.
A relaxed structure of Y2ErTe2, computed with PBE.

Structure (POSCAR):
```
Y2ErTe2
1.0
6.169 0.000 0.000
0.000 4.100 0.000
-2.151 0.000 11.883
Y Er Te
4 2 4
Cartesian
0.163 1.025 2.852
0.377 1.025 7.385
3.641 3.075 4.498
3.854 3.075 9.031
-0.778 1.025 11.474
4.795 3.075 0.409
0.544 3.075 5.083
0.799 3.075 9.726
3.219 1.025 2.158
3.474 1.025 6.801
```

Results
Uncorrected energy   -5.75 eV per atom
Formation energy from raw total energies   -22.873 kcal/mol of atoms
Total magnetization   0.000 μB per atom
SG   P2_1/m, No. 11
D(E_F)   0.794 states/eV per atom



5.
A relaxed structure of InGaSn2Hg, computed with PBE.

Structure (POSCAR):
```
InGaSn2Hg
1.0
7.881 0.000 0.000
0.000 3.336 0.000
-1.821 0.000 9.902
In Ga Sn Hg
2 2 4 2
Cartesian
0.392 0.834 4.648
5.668 2.502 5.254
2.842 2.502 0.354
3.218 0.834 9.548
0.528 0.834 1.419
2.863 2.502 3.436
3.197 0.834 6.467
5.532 2.502 8.483
0.362 0.834 7.750
5.698 2.502 2.152
```

Results
Uncorrected energy   -2.75 eV per atom
Total magnetization   0.000 μB per atom
SG   P2_1/m, No. 11
D(E_F)   0.391 states/eV per atom



6.
A relaxed structure of Pr5TmBi6, computed with PBE.

Structure (POSCAR):
```
Pr5TmBi6
1.0
3.991 -6.916 0.000
3.991 6.916 0.000
-2.670 0.000 7.526
Pr Tm Bi
5 1 6
Cartesian
0.000 0.000 0.000
2.656 4.625 3.763
3.991 2.348 0.000
3.991 -2.348 0.000
2.656 -4.625 3.763
2.656 0.000 3.763
1.360 2.255 1.924
0.057 0.000 5.624
1.360 -2.255 1.924
3.951 2.255 5.602
5.255 0.000 1.901
3.951 -2.255 5.602
```

Results
Uncorrected energy   -5.23 eV per atom
Total magnetization   0.000 μB per atom
SG   C2/m, No. 12
D(E_F)   0.167 states/eV per atom



Which value of D(E_F) does entry 1 give? 1.121 states/eV per atom



total magnetization of number 5 (InGaSn2Hg)? 0.000 μB per atom



Which formula does entry 3 have? Cs3ZnBi2



Number 6 is which compound? Pr5TmBi6